# 1
The following is a PBE-GGA calculation of crystalline NaCaHoI6 at its relaxed geometry, from the Alexandria database.

The structure in CIF format:
```
data_NaCaHoI6
_chemical_formula_sum 'Na2 Ca2 Ho2 I12'
_cell_length_a 7.838
_cell_length_b 7.838
_cell_length_c 14.469
_cell_angle_alpha 90.00
_cell_angle_beta 90.00
_cell_angle_gamma 120.00
_space_group_name_H-M_alt 'P 1'
_space_group_IT_number 1
_space_group_name_Hall 'P 1'
loop_
_atom_site_label
_atom_site_fract_x
_atom_site_fract_y
_atom_site_fract_z
Na1 0.000 0.000 0.000
Na2 0.000 0.000 0.500
Ca1 0.333 0.667 0.250
Ca2 0.667 0.333 0.750
Ho1 0.333 0.667 0.750
Ho2 0.667 0.333 0.250
I1 0.011 0.357 0.629
I2 0.011 0.654 0.871
I3 0.346 0.357 0.871
I4 0.346 0.989 0.629
I5 0.357 0.011 0.129
I6 0.357 0.346 0.371
I7 0.643 0.654 0.629
I8 0.643 0.989 0.871
I9 0.654 0.011 0.371
I10 0.654 0.643 0.129
I11 0.989 0.346 0.129
I12 0.989 0.643 0.371
```

Values from the calculation:
Spin magnetization ... 0.00 μB per cell
DFT total energy ... -60.0 eV for the cell shown
Space group ... P-31c (163)

=====

# 2
The following is a PBE-GGA calculation of crystalline RbCaHoI6 at its relaxed geometry, from the Alexandria database.

The structure in CIF format:
```
data_RbCaHoI6
_chemical_formula_sum 'Rb2 Ca2 Ho2 I12'
_cell_length_a 8.013
_cell_length_b 8.013
_cell_length_c 16.221
_cell_angle_alpha 90.00
_cell_angle_beta 90.00
_cell_angle_gamma 120.00
_space_group_name_H-M_alt 'P 1'
_space_group_IT_number 1
_space_group_name_Hall 'P 1'
loop_
_atom_site_label
_atom_site_fract_x
_atom_site_fract_y
_atom_site_fract_z
Rb1 0.000 0.000 0.000
Rb2 0.000 0.000 0.500
Ca1 0.333 0.667 0.250
Ca2 0.667 0.333 0.750
Ho1 0.333 0.667 0.750
Ho2 0.667 0.333 0.250
I1 0.011 0.377 0.640
I2 0.011 0.634 0.860
I3 0.366 0.377 0.860
I4 0.366 0.989 0.640
I5 0.377 0.011 0.140
I6 0.377 0.366 0.360
I7 0.623 0.634 0.640
I8 0.623 0.989 0.860
I9 0.634 0.011 0.360
I10 0.634 0.623 0.140
I11 0.989 0.366 0.140
I12 0.989 0.623 0.360
```

Values from the calculation:
Spin magnetization ... 0.00 μB per cell
DFT total energy ... -60.7 eV for the cell shown
Space group ... P-31c (163)

=====

# 3
The following is a PBE-GGA calculation of crystalline RbCa2HoI8 at its relaxed geometry, from the Alexandria database.

The structure in CIF format:
```
data_RbCa2HoI8
_chemical_formula_sum 'Rb1 Ca2 Ho1 I8'
_cell_length_a 7.244
_cell_length_b 9.793
_cell_length_c 7.684
_cell_angle_alpha 90.00
_cell_angle_beta 90.59
_cell_angle_gamma 90.00
_space_group_name_H-M_alt 'P 1'
_space_group_IT_number 1
_space_group_name_Hall 'P 1'
loop_
_atom_site_label
_atom_site_fract_x
_atom_site_fract_y
_atom_site_fract_z
Rb1 0.000 0.000 0.000
Ca1 0.500 0.252 0.500
Ca2 0.500 0.748 0.500
Ho1 0.000 0.500 0.000
I1 0.245 0.287 0.163
I2 0.245 0.713 0.163
I3 0.253 0.500 0.671
I4 0.267 0.000 0.620
I5 0.733 0.000 0.380
I6 0.747 0.500 0.329
I7 0.755 0.287 0.837
I8 0.755 0.713 0.837
```

Values from the calculation:
Spin magnetization ... 0.00 μB per cell
DFT total energy ... -39.4 eV for the cell shown
Space group ... P2/m (10)

=====

# 4
The following is a PBE-GGA calculation of crystalline Ca2HoIn3 at its relaxed geometry, from the Alexandria database.

The structure in CIF format:
```
data_Ca2HoIn3
_chemical_formula_sum 'Ca2 Ho1 In3'
_cell_length_a 3.821
_cell_length_b 3.821
_cell_length_c 11.398
_cell_angle_alpha 90.00
_cell_angle_beta 90.00
_cell_angle_gamma 90.00
_space_group_name_H-M_alt 'P 1'
_space_group_IT_number 1
_space_group_name_Hall 'P 1'
loop_
_atom_site_label
_atom_site_fract_x
_atom_site_fract_y
_atom_site_fract_z
Ca1 0.000 0.000 0.167
Ca2 0.000 0.000 0.833
Ho1 0.000 0.000 0.500
In1 0.500 0.500 0.000
In2 0.500 0.500 0.341
In3 0.500 0.500 0.659
```

Values from the calculation:
Spin magnetization ... 0.00 μB per cell
Formation energy from the elements ... -0.463 eV per atom
DFT total energy ... -19.6 eV for the cell shown
Space group ... P4/mmm (123)

=====

# 5
The following is a PBE-GGA calculation of crystalline Ca12Ho5In3 at its relaxed geometry, from the Alexandria database.

The structure in CIF format:
```
data_Ca12Ho5In3
_chemical_formula_sum 'Ca48 Ho20 In12'
_cell_length_a 16.792
_cell_length_b 16.792
_cell_length_c 16.792
_cell_angle_alpha 109.47
_cell_angle_beta 109.47
_cell_angle_gamma 109.47
_space_group_name_H-M_alt 'P 1'
_space_group_IT_number 1
_space_group_name_Hall 'P 1'
loop_
_atom_site_label
_atom_site_fract_x
_atom_site_fract_y
_atom_site_fract_z
Ca1 0.057 0.634 0.398
Ca2 0.057 0.923 0.659
Ca3 0.077 0.236 0.134
Ca4 0.077 0.341 0.943
Ca5 0.102 0.736 0.659
Ca6 0.102 0.866 0.443
Ca7 0.134 0.077 0.236
Ca8 0.134 0.557 0.898
Ca9 0.159 0.236 0.602
Ca10 0.159 0.423 0.557
Ca11 0.236 0.134 0.077
Ca12 0.236 0.602 0.159
Ca13 0.264 0.341 0.898
Ca14 0.264 0.423 0.366
Ca15 0.341 0.898 0.264
Ca16 0.341 0.943 0.077
Ca17 0.366 0.264 0.423
Ca18 0.366 0.602 0.943
Ca19 0.398 0.057 0.634
Ca20 0.398 0.841 0.764
Ca21 0.423 0.366 0.264
Ca22 0.423 0.557 0.159
Ca23 0.443 0.102 0.866
Ca24 0.443 0.841 0.577
Ca25 0.557 0.159 0.423
Ca26 0.557 0.898 0.134
Ca27 0.577 0.443 0.841
Ca28 0.577 0.634 0.736
Ca29 0.602 0.159 0.236
Ca30 0.602 0.943 0.366
Ca31 0.634 0.398 0.057
Ca32 0.634 0.736 0.577
Ca33 0.659 0.057 0.923
Ca34 0.659 0.102 0.736
Ca35 0.736 0.577 0.634
Ca36 0.736 0.659 0.102
Ca37 0.764 0.398 0.841
Ca38 0.764 0.866 0.923
Ca39 0.841 0.577 0.443
Ca40 0.841 0.764 0.398
Ca41 0.866 0.443 0.102
Ca42 0.866 0.923 0.764
Ca43 0.898 0.134 0.557
Ca44 0.898 0.264 0.341
Ca45 0.923 0.659 0.057
Ca46 0.923 0.764 0.866
Ca47 0.943 0.077 0.341
Ca48 0.943 0.366 0.602
Ho1 0.000 0.000 0.000
Ho2 0.000 0.000 0.500
Ho3 0.000 0.500 0.000
Ho4 0.000 0.500 0.500
Ho5 0.125 0.750 0.875
Ho6 0.125 0.875 0.250
Ho7 0.250 0.125 0.875
Ho8 0.250 0.625 0.375
Ho9 0.375 0.250 0.625
Ho10 0.375 0.625 0.750
Ho11 0.500 0.000 0.000
Ho12 0.500 0.000 0.500
Ho13 0.500 0.500 0.000
Ho14 0.500 0.500 0.500
Ho15 0.625 0.375 0.250
Ho16 0.625 0.750 0.375
Ho17 0.750 0.375 0.625
Ho18 0.750 0.875 0.125
Ho19 0.875 0.125 0.750
Ho20 0.875 0.250 0.125
In1 0.125 0.250 0.375
In2 0.125 0.375 0.750
In3 0.250 0.375 0.125
In4 0.250 0.875 0.625
In5 0.375 0.125 0.250
In6 0.375 0.750 0.125
In7 0.625 0.250 0.875
In8 0.625 0.875 0.750
In9 0.750 0.125 0.375
In10 0.750 0.625 0.875
In11 0.875 0.625 0.250
In12 0.875 0.750 0.625
```

Values from the calculation:
Spin magnetization ... 14.58 μB per cell
Formation energy from the elements ... 0.735 eV per atom
DFT total energy ... -161.7 eV for the cell shown
Space group ... Ia-3d (230)

=====

# 6
The following is a PBE-GGA calculation of crystalline Ca2HoIn at its relaxed geometry, from the Alexandria database.

The structure in CIF format:
```
data_Ca2HoIn
_chemical_formula_sum 'Ca6 Ho3 In3'
_cell_length_a 3.673
_cell_length_b 3.673
_cell_length_c 34.095
_cell_angle_alpha 90.00
_cell_angle_beta 90.00
_cell_angle_gamma 120.00
_space_group_name_H-M_alt 'P 1'
_space_group_IT_number 1
_space_group_name_Hall 'P 1'
loop_
_atom_site_label
_atom_site_fract_x
_atom_site_fract_y
_atom_site_fract_z
Ca1 0.000 0.000 0.000
Ca2 0.000 0.000 0.181
Ca3 0.333 0.667 0.667
Ca4 0.333 0.667 0.848
Ca5 0.667 0.333 0.333
Ca6 0.667 0.333 0.515
Ho1 0.000 0.000 0.425
Ho2 0.333 0.667 0.091
Ho3 0.667 0.333 0.758
In1 0.000 0.000 0.591
In2 0.333 0.667 0.257
In3 0.667 0.333 0.924
```

Values from the calculation:
Spin magnetization ... 2.07 μB per cell
Formation energy from the elements ... -0.069 eV per atom
Distance to the lowest polymorph of the same formula ... 0.142 eV/atom
DFT total energy ... -34.8 eV for the cell shown
Space group ... R3m (160)

=====

# 7
The following is a PBE-GGA calculation of crystalline Ca2HoIn at its relaxed geometry, from the Alexandria database.

The structure in CIF format:
```
data_Ca2HoIn
_chemical_formula_sum 'Ca6 Ho3 In3'
_cell_length_a 3.622
_cell_length_b 3.622
_cell_length_c 37.670
_cell_angle_alpha 90.00
_cell_angle_beta 90.00
_cell_angle_gamma 120.00
_space_group_name_H-M_alt 'P 1'
_space_group_IT_number 1
_space_group_name_Hall 'P 1'
loop_
_atom_site_label
_atom_site_fract_x
_atom_site_fract_y
_atom_site_fract_z
Ca1 0.000 0.000 0.087
Ca2 0.000 0.000 0.913
Ca3 0.333 0.667 0.580
Ca4 0.333 0.667 0.754
Ca5 0.667 0.333 0.246
Ca6 0.667 0.333 0.420
Ho1 0.000 0.000 0.500
Ho2 0.333 0.667 0.167
Ho3 0.667 0.333 0.833
In1 0.000 0.000 0.000
In2 0.333 0.667 0.667
In3 0.667 0.333 0.333
```

Values from the calculation:
Spin magnetization ... 0.01 μB per cell
Formation energy from the elements ... 0.131 eV per atom
Distance to the lowest polymorph of the same formula ... 0.343 eV/atom
DFT total energy ... -32.4 eV for the cell shown
Space group ... R-3m (166)

=====

# 8
The following is a PBE-GGA calculation of crystalline CaHo2In3 at its relaxed geometry, from the Alexandria database.

The structure in CIF format:
```
data_CaHo2In3
_chemical_formula_sum 'Ca1 Ho2 In3'
_cell_length_a 3.641
_cell_length_b 3.641
_cell_length_c 12.177
_cell_angle_alpha 90.00
_cell_angle_beta 90.00
_cell_angle_gamma 90.00
_space_group_name_H-M_alt 'P 1'
_space_group_IT_number 1
_space_group_name_Hall 'P 1'
loop_
_atom_site_label
_atom_site_fract_x
_atom_site_fract_y
_atom_site_fract_z
Ca1 0.000 0.000 0.000
Ho1 0.000 0.000 0.335
Ho2 0.000 0.000 0.665
In1 0.500 0.500 0.172
In2 0.500 0.500 0.500
In3 0.500 0.500 0.828
```

Values from the calculation:
Spin magnetization ... 0.00 μB per cell
Formation energy from the elements ... -0.453 eV per atom
DFT total energy ... -22.1 eV for the cell shown
Space group ... P4/mmm (123)

=====

# 9
The following is a PBE-GGA calculation of crystalline CaHo3In12 at its relaxed geometry, from the Alexandria database.

The structure in CIF format:
```
data_CaHo3In12
_chemical_formula_sum 'Ca1 Ho3 In12'
_cell_length_a 4.653
_cell_length_b 4.653
_cell_length_c 18.653
_cell_angle_alpha 90.00
_cell_angle_beta 90.00
_cell_angle_gamma 90.00
_space_group_name_H-M_alt 'P 1'
_space_group_IT_number 1
_space_group_name_Hall 'P 1'
loop_
_atom_site_label
_atom_site_fract_x
_atom_site_fract_y
_atom_site_fract_z
Ca1 0.000 0.000 0.000
Ho1 0.000 0.000 0.254
Ho2 0.000 0.000 0.500
Ho3 0.000 0.000 0.746
In1 0.000 0.500 0.128
In2 0.000 0.500 0.377
In3 0.000 0.500 0.623
In4 0.000 0.500 0.872
In5 0.500 0.000 0.128
In6 0.500 0.000 0.377
In7 0.500 0.000 0.623
In8 0.500 0.000 0.872
In9 0.500 0.500 0.000
In10 0.500 0.500 0.251
In11 0.500 0.500 0.500
In12 0.500 0.500 0.749
```

Values from the calculation:
Spin magnetization ... 0.00 μB per cell
Formation energy from the elements ... -0.374 eV per atom
DFT total energy ... -54.6 eV for the cell shown
Space group ... P4/mmm (123)

=====

# 10
The following is a PBE-GGA calculation of crystalline CaHo5In3 at its relaxed geometry, from the Alexandria database.

The structure in CIF format:
```
data_CaHo5In3
_chemical_formula_sum 'Ca2 Ho10 In6'
_cell_length_a 9.315
_cell_length_b 9.315
_cell_length_c 6.752
_cell_angle_alpha 90.00
_cell_angle_beta 90.00
_cell_angle_gamma 120.00
_space_group_name_H-M_alt 'P 1'
_space_group_IT_number 1
_space_group_name_Hall 'P 1'
loop_
_atom_site_label
_atom_site_fract_x
_atom_site_fract_y
_atom_site_fract_z
Ca1 0.000 0.000 0.000
Ca2 0.000 0.000 0.500
Ho1 0.000 0.335 0.250
Ho2 0.000 0.665 0.750
Ho3 0.333 0.667 0.000
Ho4 0.333 0.667 0.500
Ho5 0.335 0.000 0.250
Ho6 0.335 0.335 0.750
Ho7 0.665 0.000 0.750
Ho8 0.665 0.665 0.250
Ho9 0.667 0.333 0.000
Ho10 0.667 0.333 0.500
In1 0.000 0.334 0.750
In2 0.000 0.666 0.250
In3 0.334 0.000 0.750
In4 0.334 0.334 0.250
In5 0.666 0.000 0.250
In6 0.666 0.666 0.750
```

Values from the calculation:
Spin magnetization ... 0.00 μB per cell
Formation energy from the elements ... -0.361 eV per atom
DFT total energy ... -72.7 eV for the cell shown
Space group ... P6_3/mcm (193)

=====

# 11
The following is a PBE-GGA calculation of crystalline CaHo2In9 at its relaxed geometry, from the Alexandria database.

The structure in CIF format:
```
data_CaHo2In9
_chemical_formula_sum 'Ca1 Ho2 In9'
_cell_length_a 4.662
_cell_length_b 4.662
_cell_length_c 13.966
_cell_angle_alpha 90.00
_cell_angle_beta 90.00
_cell_angle_gamma 90.00
_space_group_name_H-M_alt 'P 1'
_space_group_IT_number 1
_space_group_name_Hall 'P 1'
loop_
_atom_site_label
_atom_site_fract_x
_atom_site_fract_y
_atom_site_fract_z
Ca1 0.000 0.000 0.000
Ho1 0.000 0.000 0.337
Ho2 0.000 0.000 0.663
In1 0.000 0.500 0.169
In2 0.000 0.500 0.500
In3 0.000 0.500 0.831
In4 0.500 0.000 0.169
In5 0.500 0.000 0.500
In6 0.500 0.000 0.831
In7 0.500 0.500 0.000
In8 0.500 0.500 0.334
In9 0.500 0.500 0.666
```

Values from the calculation:
Spin magnetization ... 0.00 μB per cell
Formation energy from the elements ... -0.376 eV per atom
DFT total energy ... -40.3 eV for the cell shown
Space group ... P4/mmm (123)

=====

# 12
The following is a PBE-GGA calculation of crystalline CaHo2In4 at its relaxed geometry, from the Alexandria database.

The structure in CIF format:
```
data_CaHo2In4
_chemical_formula_sum 'Ca2 Ho4 In8'
_cell_length_a 7.551
_cell_length_b 7.551
_cell_length_c 7.202
_cell_angle_alpha 90.00
_cell_angle_beta 90.00
_cell_angle_gamma 90.00
_space_group_name_H-M_alt 'P 1'
_space_group_IT_number 1
_space_group_name_Hall 'P 1'
loop_
_atom_site_label
_atom_site_fract_x
_atom_site_fract_y
_atom_site_fract_z
Ca1 0.000 0.000 0.000
Ca2 0.500 0.500 0.500
Ho1 0.000 0.500 0.000
Ho2 0.000 0.500 0.500
Ho3 0.500 0.000 0.000
Ho4 0.500 0.000 0.500
In1 0.250 0.250 0.250
In2 0.250 0.250 0.750
In3 0.250 0.750 0.250
In4 0.250 0.750 0.750
In5 0.750 0.250 0.250
In6 0.750 0.250 0.750
In7 0.750 0.750 0.250
In8 0.750 0.750 0.750
```

Values from the calculation:
Spin magnetization ... 0.00 μB per cell
Formation energy from the elements ... -0.319 eV per atom
DFT total energy ... -48.7 eV for the cell shown
Space group ... I4/mmm (139)